w | Density functional theory data (PBE-GGA) for Nd2EuAu after structural relaxation.

Unit cell a=3.761 b=3.761 c=9.063 alpha=90.00 beta=90.00 gamma=90.00
Last column: magnetic moment on the atom in μB.
Atoms (fractional coordinates):
Eu  0.500  0.500  0.500  -7.05
Nd  0.000  0.000  0.195  -0.23
Nd  0.000  0.000  0.805  -0.23
Au  0.500  0.500  0.000  -0.03


x | Density functional theory data (PBE-GGA) for Nd2EuAu after structural relaxation.

Unit cell a=3.901 b=3.901 c=10.663 alpha=79.46 beta=79.46 gamma=60.00
Last column: magnetic moment on the atom in μB.
Atoms (fractional coordinates):
Nd  0.732  0.732  0.803  0.00
Nd  0.268  0.268  0.197  0.00
Eu  0.500  0.500  0.500  -6.95
Au  0.000  0.000  0.000  0.02


Going by the energies, w is most stable and the next is 0.092 eV/atom up.


w | Density functional theory data (PBE-GGA) for Eu2AuO after structural relaxation.

Unit cell a=3.299 b=3.299 c=7.436 alpha=90.00 beta=90.00 gamma=90.00
Last column: magnetic moment on the atom in μB.
Atoms (fractional coordinates):
O  0.500  0.500  0.000  -0.05
Au  0.500  0.500  0.500  0.03
Eu  0.000  0.000  0.795  6.96
Eu  0.000  0.000  0.205  6.96


x | Density functional theory data (PBE-GGA) for Eu2AuO after structural relaxation.

Unit cell a=3.652 b=3.652 c=8.865 alpha=78.11 beta=78.11 gamma=60.00
Last column: magnetic moment on the atom in μB.
Atoms (fractional coordinates):
Au  0.000  0.000  0.000  -0.03
O  0.500  0.500  0.500  -0.09
Eu  0.112  0.112  0.663  7.01
Eu  0.888  0.888  0.337  7.01


Going by the energies, w is most stable and the next is 0.121 eV/atom up.